Record 1
Computed, not measured: Y2AsP at its PBEsol-relaxed geometry at the SCAN level of DFT.

formation energy = -7.2 eV per formula unit

abc: 4.014 4.014 5.675
angles: 90.00 90.00 90.00
Element x y z (fractional)
P (0.500, 0.500, 0.500)
As (0.000, 0.000, 0.000)
Y (0.000, 0.000, 0.500)
Y (0.500, 0.500, 0.000)

***

Record 2
Computed, not measured: MgAg3 at its PBEsol-relaxed geometry at the SCAN level of DFT.

energy above the lowest structure with this stoichiometry = 36 meV/atom
formation energy = -0.5 eV per formula unit

abc: 4.797 5.785 5.700
angles: 59.51 90.00 90.00
Element x y z (fractional)
Mg (0.750, 0.599, 0.803)
Mg (0.250, 0.401, 0.197)
Ag (0.250, 0.906, 0.685)
Ag (0.750, 0.094, 0.315)
Ag (0.250, 0.410, 0.685)
Ag (0.750, 0.590, 0.315)
Ag (0.250, 0.910, 0.181)
Ag (0.750, 0.090, 0.819)

***

Record 3
Computed, not measured: Zr2SbAs at its PBEsol-relaxed geometry at the SCAN level of DFT.

formation energy from raw total energies = -2.95 eV per formula unit

abc: 4.019 5.116 5.116
angles: 62.04 66.87 66.87
Element x y z (fractional)
Zr (0.222, 0.778, 0.778)
Zr (0.778, 0.222, 0.222)
Sb (0.000, 0.500, 0.500)
As (0.500, 0.000, 0.000)